[1]
Computed, not measured: a relaxed structure of Ta2PCl at the PBE level of DFT.

Its uncorrected formation energy is -0.135 eV per atom. The total magnetization comes out at 0.00 μB/f.u. The value obtained for the calculated volume is 17.00 Å³/atom. For the energy above the lowest structure with this stoichiometry, the calculation gives 0.186 eV per atom. The density of states at the Fermi level comes out at 2.17 states/eV per cell.

The space group is P4/mmm (No. 123) and the conventional cell measures 3.1694, 3.1694 and 6.7705 Å, with angles of 90.00, 90.00 and 90.00 degrees. The inequivalent atoms are Ta at (0.0000, 0.0000, 0.1947), P at (0.5000, 0.5000, 0.0000) and Cl at (0.5000, 0.5000, 0.5000).

---

[2]
Computed, not measured: a relaxed structure of TcSnSb2I at the PBE level of DFT.

Its uncorrected formation energy is 1.386 eV per atom. The total magnetization comes out at 3.71 μB/f.u. The value obtained for the calculated volume is 37.55 Å³/atom. For the energy above the lowest structure with this stoichiometry, the calculation gives 0.911 eV per atom. The density of states at the Fermi level comes out at 3.46 states/eV per cell.

The space group is P4/mmm (No. 123) and the conventional cell measures 5.6847, 5.6847 and 5.8093 Å, with angles of 90.00, 90.00 and 90.00 degrees. The inequivalent atoms are Tc at (0.0000, 0.0000, 0.0000), Sn at (0.5000, 0.5000, 0.5000), Sb at (0.0000, 0.5000, 0.5000) and I at (0.5000, 0.5000, 0.0000).

---

[3]
Computed, not measured: a relaxed structure of PaHgPdAu at the PBE level of DFT.

The total magnetization comes out at 0.01 μB/f.u. The value obtained for the calculated volume is 20.90 Å³/atom. The density of states at the Fermi level comes out at 23.23 states/eV per cell. The calculation puts the energy relative to the elements at -132 kJ/mol of formula units.

The space group is F-43m (No. 216) and the conventional cell measures 6.9410, 6.9410 and 6.9410 Å, with angles of 90.00, 90.00 and 90.00 degrees. The inequivalent atoms are Pa at (0.0000, 0.0000, 0.0000), Hg at (0.0000, 0.0000, 0.5000), Pd at (0.2500, 0.2500, 0.7500) and Au at (0.2500, 0.2500, 0.2500).

---

Q: Which formula does entry 3 have?
A: PaHgPdAu